# 1
Entry from the Alexandria database: TlHSe2 after structural relaxation (PBE).

For the total DFT energy (no corrections), the calculation gives -10.29 eV/cell. Its crystal system is trigonal. Its calculated density is 7.82 Mg/m³.

a b c (Å): 9.5190 9.5190 9.5190
angles (deg): 18.66 18.66 18.66
Element x y z (fractional)
H1 0.5000 0.5000 0.5000
Se1 0.8875 0.8875 0.8875
Se2 0.1125 0.1125 0.1125
Tl1 0.0000 0.0000 0.0000

***

# 2
Entry from the Alexandria database: CeSmCl4 after structural relaxation (PBE).

Its energy relative to the elements, uncorrected is -1.896 eV per atom. Its crystal system is monoclinic. Its calculated density is 3.98 Mg/m³.

a b c (Å): 6.8329 6.9107 9.0321
angles (deg): 104.71 104.37 109.87
Element x y z (fractional)
Cl1 0.6729 0.9203 0.3552
Cl2 0.3271 0.0797 0.6448
Cl3 0.1823 0.4349 0.3552
Cl4 0.8177 0.5651 0.6448
Sm1 0.6904 0.4404 0.8808
Ce1 0.1870 0.9370 0.8740
Cl5 0.0691 0.8146 0.1386
Cl6 0.4306 0.6760 0.8614
Cl7 0.5694 0.3240 0.1386
Ce2 0.8130 0.0630 0.1260
Cl8 0.9309 0.1854 0.8614
Sm2 0.3096 0.5596 0.1192

***

# 3
Entry from the Alexandria database: PRuAuO2 after structural relaxation (PBE).

Its energy relative to the elements, uncorrected is -0.278 eV per atom. Its crystal system is tetragonal. Its calculated density is 8.04 Mg/m³.

a b c (Å): 3.7089 3.7089 5.4188
angles (deg): 90.00 90.00 90.00
Element x y z (fractional)
O1 0.0000 0.5000 0.0000
Au1 0.5000 0.5000 0.5000
P1 0.0000 0.0000 0.5000
Ru1 0.0000 0.0000 0.0000
O2 0.5000 0.0000 0.0000

***

# 4
Entry from the Alexandria database: CaZrCo2S after structural relaxation (PBE).

Its energy relative to the elements, uncorrected is 0.253 eV per atom. Its crystal system is tetragonal. Its calculated density is 5.27 Mg/m³.

a b c (Å): 4.2423 4.9210 4.2423
angles (deg): 90.00 90.00 90.00
Element x y z (fractional)
Co1 0.5000 0.0000 0.0000
S1 0.0000 0.0000 0.0000
Ca1 0.0000 0.5000 0.0000
Co2 0.0000 0.0000 0.5000
Zr1 0.5000 0.5000 0.5000

***

# 5
Entry from the Alexandria database: NdGdAlAg after structural relaxation (PBE).

Its crystal system is cubic. The calculation puts the calculated formation energy at -315 meV/atom. Its calculated density is 7.06 Mg/m³.

a b c (Å): 5.2559 5.2559 5.2559
angles (deg): 60.00 60.00 60.00
Element x y z (fractional)
Ag1 0.2500 0.2500 0.2500
Nd1 0.5000 0.5000 0.5000
Al1 0.7500 0.7500 0.7500
Gd1 0.0000 0.0000 0.0000

***

# 6
Entry from the Alexandria database: Ir6RuRh2 after structural relaxation (PBE).

Its crystal system is trigonal. The calculation puts the calculated formation energy at 499 meV/atom. Its calculated density is 16.29 Mg/m³.

a b c (Å): 5.3402 5.3402 6.7682
angles (deg): 66.76 66.76 60.00
Element x y z (fractional)
Ir1 0.2692 0.2692 0.6748
Ir2 0.7869 0.2692 0.6748
Ru1 0.3375 0.3375 0.9874
Rh1 0.7376 0.7376 0.7871
Rh2 0.5838 0.5838 0.2486
Ir3 0.0538 0.5738 0.3185
Ir4 0.0538 0.0538 0.3185
Ir5 0.2692 0.7869 0.6748
Ir6 0.5738 0.0538 0.3185